(1)
VASP calculation (PBE) on Na4CaHg2 after structural relaxation.

SG	Cmmm
ΔE to the lowest computed polymorph	6	meV/atom

Lattice parameters (Å, degrees): 10.3833 10.3833 4.8757 90.00 90.00 156.00
Closest atoms and distances in Å follow each position.
Sites, in units of the cell vectors:
Na1 0.1679 0.8321 0.0000  2 Hg 3.13, 4 Na 3.27
Na2 0.3199 0.6801 0.5000  2 Hg 3.09, 4 Na 3.27
Na3 0.6801 0.3199 0.5000  2 Hg 3.09, 4 Na 3.27
Na4 0.8321 0.1679 0.0000  2 Hg 3.13, 4 Na 3.27
Ca1 0.5000 0.5000 0.0000  8 Hg 3.56
Hg1 0.0710 0.9290 0.5000  1 Hg 2.89, 4 Na 3.09-3.13
Hg2 0.9290 0.0710 0.5000  1 Hg 2.89, 4 Na 3.09-3.13

(2)
VASP calculation (PBE) on NaCa2Hg4 after structural relaxation.

SG	I4/mmm
ΔE to the lowest computed polymorph	162	meV/atom

Lattice parameters (Å, degrees): 8.8599 8.8599 8.8599 144.65 144.65 50.86
Closest atoms and distances in Å follow each position.
Sites, in units of the cell vectors:
Na1 0.0000 0.0000 0.0000  6 Hg 2.69-2.99
Ca1 0.3825 0.3825 0.0000  5 Hg 3.13-3.28
Ca2 0.6175 0.6175 0.0000  5 Hg 3.13-3.28
Hg1 0.0000 0.5000 0.5000  2 Na 2.69
Hg2 0.1868 0.1868 0.0000  1 Na 2.99, 1 Ca 3.13
Hg3 0.5000 0.0000 0.5000  2 Na 2.69
Hg4 0.8132 0.8132 0.0000  1 Na 2.99, 1 Ca 3.13

(3)
VASP calculation (PBE) on Na2Ca2Hg7 after structural relaxation.

SG	Cmmm
total DFT energy (no corrections)	-0.984	eV per atom

Lattice parameters (Å, degrees): 6.8450 6.8450 7.5118 90.00 90.00 105.12
Closest atoms and distances in Å follow each position.
Sites, in units of the cell vectors:
Na1 0.1773 0.1773 0.0000  1 Na 2.95, 6 Hg 3.08-3.15
Na2 0.8227 0.8227 0.0000  1 Na 2.95, 6 Hg 3.08-3.15
Ca1 0.3000 0.7000 0.5000  7 Hg 3.13-3.26
Ca2 0.7000 0.3000 0.5000  7 Hg 3.13-3.26
Hg1 0.0000 0.0000 0.5000  2 Ca 3.26
Hg2 0.0000 0.5000 0.1949  1 Hg 2.93, 2 Ca 3.14, 2 Na 3.15
Hg3 0.0000 0.5000 0.8051  1 Hg 2.93, 2 Ca 3.14, 2 Na 3.15
Hg4 0.5000 0.0000 0.1949  1 Hg 2.93, 2 Ca 3.14, 2 Na 3.15
Hg5 0.5000 0.0000 0.8051  1 Hg 2.93, 2 Ca 3.14, 2 Na 3.15
Hg6 0.5000 0.5000 0.1998  1 Hg 3.00, 2 Na 3.08, 2 Ca 3.13
Hg7 0.5000 0.5000 0.8002  1 Hg 3.00, 2 Na 3.08, 2 Ca 3.13

(4)
VASP calculation (PBE) on Na2Ca3Hg9 after structural relaxation.

SG	Immm
total DFT energy (no corrections)	-1.150	eV per atom

Lattice parameters (Å, degrees): 9.9818 9.9818 9.9818 157.22 101.26 83.26
Closest atoms and distances in Å follow each position.
Sites, in units of the cell vectors:
Na1 0.2005 0.0000 0.2005  8 Hg 3.11-3.21
Na2 0.7995 0.0000 0.7995  8 Hg 3.11-3.21
Ca1 0.2010 0.2010 0.0000  10 Hg 3.24-3.59
Ca2 0.5000 0.5000 0.0000  8 Hg 3.27
Ca3 0.7990 0.7990 0.0000  10 Hg 3.24-3.59
Hg1 0.0000 0.5000 0.5000  4 Na 3.21, 4 Hg 3.50, 4 Ca 3.59
Hg2 0.0339 0.3359 0.6979  3 Hg 3.05-3.06, 2 Na 3.14, 2 Ca 3.24
Hg3 0.2383 0.8579 0.3804  4 Hg 3.03-3.06, 1 Na 3.11, 2 Ca 3.27
Hg4 0.3620 0.6641 0.6979  3 Hg 3.05-3.06, 2 Na 3.14, 2 Ca 3.24
Hg5 0.4776 0.8579 0.6196  4 Hg 3.03-3.06, 1 Na 3.11, 2 Ca 3.27
Hg6 0.5224 0.1421 0.3804  4 Hg 3.03-3.06, 1 Na 3.11, 2 Ca 3.27
Hg7 0.6380 0.3359 0.3021  3 Hg 3.05-3.06, 2 Na 3.14, 2 Ca 3.24
Hg8 0.7617 0.1421 0.6196  4 Hg 3.03-3.06, 1 Na 3.11, 2 Ca 3.27
Hg9 0.9661 0.6641 0.3021  3 Hg 3.05-3.06, 2 Na 3.14, 2 Ca 3.24

Question: What is the formula in the first record?
Answer: Na4CaHg2

Question: Number 1 is which compound?
Answer: Na4CaHg2